## a
## Sc2TcGe2 (PBE)

Data for a relaxed structure of Sc2TcGe2.

a = 6.698 Å, b = 6.698 Å, c = 3.904 Å
α = 90.00°, β = 90.00°, γ = 90.00°
Fractional coordinates of all 10 atoms:
Sc 0.826 0.326 0.500
Sc 0.174 0.674 0.500
Sc 0.326 0.174 0.500
Sc 0.674 0.826 0.500
Tc 0.000 0.000 0.000
Tc 0.500 0.500 0.000
Ge 0.633 0.133 0.000
Ge 0.133 0.367 0.000
Ge 0.367 0.867 0.000
Ge 0.867 0.633 0.000

space-group type	P4/mbm (127)
calculated volume	175.1	Å³ per cell

---

## b
## Sc2TcGe2 (PBE)

Data for a relaxed structure of Sc2TcGe2.

a = 6.640 Å, b = 6.640 Å, c = 6.640 Å
α = 145.63°, β = 145.63°, γ = 49.39°
Fractional coordinates of all 5 atoms:
Tc 0.000 0.000 0.000
Ge 0.595 0.595 0.000
Ge 0.405 0.405 0.000
Sc 0.750 0.250 0.500
Sc 0.250 0.750 0.500

space-group type	I4/mmm (139)
calculated volume	92.8	Å³ per cell

---

Short version: a, b, most stable first.

---

## a
## ZrGeTe2Se2 (PBE)

Data for a relaxed structure of ZrGeTe2Se2.

a = 8.509 Å, b = 8.509 Å, c = 10.602 Å
α = 90.00°, β = 90.00°, γ = 153.50°
Fractional coordinates of all 12 atoms:
Se 0.370 0.630 0.000
Se 0.630 0.370 0.500
Se 0.268 0.732 0.697
Se 0.732 0.268 0.197
Te 0.021 0.979 0.742
Te 0.106 0.894 0.966
Te 0.894 0.106 0.466
Te 0.979 0.021 0.242
Ge 0.226 0.774 0.469
Ge 0.774 0.226 0.969
Zr 0.343 0.657 0.266
Zr 0.657 0.343 0.766

space-group type	Cmc2_1 (36)
calculated volume	342.5	Å³ per cell

---

## b
## ZrGeTe2Se2 (PBE)

Data for a relaxed structure of ZrGeTe2Se2.

a = 8.449 Å, b = 8.449 Å, c = 11.075 Å
α = 90.00°, β = 90.00°, γ = 153.29°
Fractional coordinates of all 12 atoms:
Ge 0.272 0.728 0.968
Ge 0.728 0.272 0.468
Te 0.118 0.882 0.502
Te 0.781 0.219 0.701
Te 0.219 0.781 0.201
Te 0.882 0.118 0.002
Se 0.602 0.398 0.941
Se 0.465 0.535 0.250
Se 0.398 0.602 0.441
Se 0.535 0.465 0.750
Zr 0.153 0.847 0.777
Zr 0.847 0.153 0.277

space-group type	Cmc2_1 (36)
calculated volume	355.4	Å³ per cell

---

Short version: a, b, most stable first.

---

## a
## TmTlGeSe3 (PBE)

Data for a relaxed structure of TmTlGeSe3.

a = 8.064 Å, b = 8.064 Å, c = 11.265 Å
α = 90.00°, β = 90.00°, γ = 151.04°
Fractional coordinates of all 12 atoms:
Se 0.626 0.374 0.500
Se 0.374 0.626 0.000
Se 0.009 0.991 0.750
Se 0.374 0.626 0.500
Se 0.626 0.374 0.000
Se 0.991 0.009 0.250
Tm 0.000 0.000 0.000
Tm 0.000 0.000 0.500
Tl 0.288 0.712 0.750
Tl 0.712 0.288 0.250
Ge 0.383 0.617 0.250
Ge 0.617 0.383 0.750

space-group type	Cmcm (63)
calculated volume	354.7	Å³ per cell

---

## b
## TmTlGeSe3 (PBE)

Data for a relaxed structure of TmTlGeSe3.

a = 15.258 Å, b = 4.006 Å, c = 11.644 Å
α = 90.00°, β = 90.00°, γ = 90.00°
Fractional coordinates of all 24 atoms:
Se 0.915 0.250 0.726
Se 0.133 0.750 0.666
Se 0.585 0.750 0.226
Se 0.415 0.250 0.774
Se 0.894 0.750 0.037
Se 0.085 0.750 0.274
Se 0.394 0.750 0.463
Se 0.606 0.250 0.537
Se 0.106 0.250 0.963
Se 0.867 0.250 0.334
Se 0.633 0.750 0.834
Se 0.367 0.250 0.166
Tm 0.992 0.250 0.152
Tm 0.508 0.750 0.652
Tm 0.492 0.250 0.348
Tm 0.008 0.750 0.848
Ge 0.539 0.250 0.916
Ge 0.461 0.750 0.084
Ge 0.039 0.250 0.584
Ge 0.961 0.750 0.416
Tl 0.768 0.750 0.575
Tl 0.268 0.750 0.925
Tl 0.232 0.250 0.425
Tl 0.732 0.250 0.075

space-group type	Pnma (62)
calculated volume	711.8	Å³ per cell

---

Short version: b, a, most stable first.

---

## a
## SmSiGe (PBE)

Data for a relaxed structure of SmSiGe.

a = 4.689 Å, b = 4.689 Å, c = 4.689 Å
α = 60.00°, β = 60.00°, γ = 60.00°
Fractional coordinates of all 3 atoms:
Sm 0.750 0.750 0.750
Si 0.250 0.250 0.250
Ge 0.000 0.000 0.000

space-group type	F-43m (216)
calculated volume	72.9	Å³ per cell

---

## b
## SmSiGe (PBE)

Data for a relaxed structure of SmSiGe.

a = 4.796 Å, b = 4.796 Å, c = 4.796 Å
α = 60.00°, β = 60.00°, γ = 60.00°
Fractional coordinates of all 3 atoms:
Si 0.750 0.750 0.750
Sm 0.000 0.000 0.000
Ge 0.250 0.250 0.250

space-group type	F-43m (216)
calculated volume	78.0	Å³ per cell

---

## c
## SmSiGe (PBE)

Data for a relaxed structure of SmSiGe.

a = 4.684 Å, b = 4.684 Å, c = 4.684 Å
α = 60.00°, β = 60.00°, γ = 60.00°
Fractional coordinates of all 3 atoms:
Sm 0.750 0.750 0.750
Si 0.000 0.000 0.000
Ge 0.250 0.250 0.250

space-group type	F-43m (216)
calculated volume	72.6	Å³ per cell

---

Short version: c, a, b, most stable first.

---

## a
## SiGeW (PBE)

Data for a relaxed structure of SiGeW.

a = 4.250 Å, b = 4.250 Å, c = 4.250 Å
α = 60.00°, β = 60.00°, γ = 60.00°
Fractional coordinates of all 3 atoms:
W 0.000 0.000 0.000
Si 0.750 0.750 0.750
Ge 0.250 0.250 0.250

space-group type	F-43m (216)
calculated volume	54.3	Å³ per cell

---

## b
## SiGeW (PBE)

Data for a relaxed structure of SiGeW.

a = 4.160 Å, b = 4.160 Å, c = 4.160 Å
α = 60.00°, β = 60.00°, γ = 60.00°
Fractional coordinates of all 3 atoms:
W 0.750 0.750 0.750
Si 0.000 0.000 0.000
Ge 0.250 0.250 0.250

space-group type	F-43m (216)
calculated volume	50.9	Å³ per cell

---

Short version: a, b, most stable first.

---

## a
## SmYGe (PBE)

Data for a relaxed structure of SmYGe.

a = 8.699 Å, b = 8.699 Å, c = 8.699 Å
α = 150.38°, β = 150.38°, γ = 42.38°
Last column: magnetic moment on the atom in μB.
Fractional coordinates of all 6 atoms:
Ge 0.133 0.133 0.000  -0.01
Ge 0.867 0.867 0.000  -0.01
Sm 0.681 0.681 0.000  0.15
Sm 0.319 0.319 0.000  0.15
Y 0.000 0.500 0.500  0.08
Y 0.500 0.000 0.500  0.11

space-group type	I4/mmm (139)
calculated volume	160.4	Å³ per cell

---

## b
## SmYGe (PBE)

Data for a relaxed structure of SmYGe.

a = 4.947 Å, b = 4.947 Å, c = 4.947 Å
α = 60.00°, β = 60.00°, γ = 60.00°
Fractional coordinates of all 3 atoms:
Y 0.750 0.750 0.750
Sm 0.250 0.250 0.250
Ge 0.000 0.000 0.000

space-group type	F-43m (216)
calculated volume	85.6	Å³ per cell

---

## c
## SmYGe (PBE)

Data for a relaxed structure of SmYGe.

a = 5.123 Å, b = 5.123 Å, c = 6.567 Å
α = 90.00°, β = 90.00°, γ = 120.00°
Last column: magnetic moment on the atom in μB.
Fractional coordinates of all 6 atoms:
Sm 0.333 0.667 0.987  0.21
Sm 0.667 0.333 0.487  0.21
Y 0.000 0.000 0.737  0.32
Y 0.000 0.000 0.237  0.31
Ge 0.333 0.667 0.486  -0.02
Ge 0.667 0.333 0.986  -0.02

space-group type	P6_3/mmc (194)
calculated volume	149.2	Å³ per cell

---

Short version: a, b, c, most stable first.

---

## a
## TaSnGe (PBE)

Data for a relaxed structure of TaSnGe.

a = 4.545 Å, b = 4.545 Å, c = 4.545 Å
α = 60.00°, β = 60.00°, γ = 60.00°
Fractional coordinates of all 3 atoms:
Sn 0.250 0.250 0.250
Ta 0.750 0.750 0.750
Ge 0.000 0.000 0.000

space-group type	F-43m (216)
calculated volume	66.4	Å³ per cell

---

## b
## TaSnGe (PBE)

Data for a relaxed structure of TaSnGe.

a = 4.620 Å, b = 4.620 Å, c = 4.620 Å
α = 60.00°, β = 60.00°, γ = 60.00°
Fractional coordinates of all 3 atoms:
Sn 0.750 0.750 0.750
Ge 0.250 0.250 0.250
Ta 0.000 0.000 0.000

space-group type	F-43m (216)
calculated volume	69.7	Å³ per cell

---

Short version: b, a, most stable first.

---

## a
## USnGe (PBE)

Data for a relaxed structure of USnGe.

a = 4.904 Å, b = 4.904 Å, c = 4.904 Å
α = 60.00°, β = 60.00°, γ = 60.00°
Fractional coordinates of all 3 atoms:
U 0.000 0.000 0.000
Ge 0.250 0.250 0.250
Sn 0.750 0.750 0.750

space-group type	F-43m (216)
calculated volume	83.4	Å³ per cell

---

## b
## USnGe (PBE)

Data for a relaxed structure of USnGe.

a = 4.913 Å, b = 4.913 Å, c = 4.913 Å
α = 60.00°, β = 60.00°, γ = 60.00°
Last column: magnetic moment on the atom in μB.
Fractional coordinates of all 3 atoms:
Ge 0.000 0.000 0.000  -0.01
U 0.500 0.500 0.500  2.71
Sn 0.750 0.750 0.750  0.09

space-group type	F-43m (216)
calculated volume	83.9	Å³ per cell

---

Short version: a, b, most stable first.

---

## a
## SrTcGe (PBE)

Data for a relaxed structure of SrTcGe.

a = 4.652 Å, b = 4.652 Å, c = 4.652 Å
α = 60.00°, β = 60.00°, γ = 60.00°
Fractional coordinates of all 3 atoms:
Sr 0.250 0.250 0.250
Tc 0.750 0.750 0.750
Ge 0.000 0.000 0.000

space-group type	F-43m (216)
calculated volume	71.2	Å³ per cell

---

## b
## SrTcGe (PBE)

Data for a relaxed structure of SrTcGe.

a = 4.974 Å, b = 4.974 Å, c = 4.974 Å
α = 60.00°, β = 60.00°, γ = 60.00°
Fractional coordinates of all 3 atoms:
Ge 0.250 0.250 0.250
Tc 0.750 0.750 0.750
Sr 0.000 0.000 0.000

space-group type	F-43m (216)
calculated volume	87.0	Å³ per cell

---

Short version: a, b, most stable first.

---

## a
## TaTlGe (PBE)

Data for a relaxed structure of TaTlGe.

a = 4.643 Å, b = 4.643 Å, c = 4.643 Å
α = 60.00°, β = 60.00°, γ = 60.00°
Fractional coordinates of all 3 atoms:
Ta 0.000 0.000 0.000
Ge 0.250 0.250 0.250
Tl 0.750 0.750 0.750

space-group type	F-43m (216)
calculated volume	70.8	Å³ per cell

---

## b
## TaTlGe (PBE)

Data for a relaxed structure of TaTlGe.

a = 4.575 Å, b = 4.575 Å, c = 4.575 Å
α = 60.00°, β = 60.00°, γ = 60.00°
Fractional coordinates of all 3 atoms:
Ta 0.250 0.250 0.250
Ge 0.000 0.000 0.000
Tl 0.750 0.750 0.750

space-group type	F-43m (216)
calculated volume	67.7	Å³ per cell

---

Short version: a, b, most stable first.

---

## a
## TaGeW (PBE)

Data for a relaxed structure of TaGeW.

a = 7.096 Å, b = 7.096 Å, c = 3.338 Å
α = 90.00°, β = 90.00°, γ = 120.00°
Fractional coordinates of all 9 atoms:
W 0.000 0.263 0.500
W 0.263 0.000 0.500
W 0.737 0.737 0.500
Ge 0.667 0.333 0.500
Ge 0.333 0.667 0.500
Ge 0.000 0.000 0.000
Ta 0.399 0.399 0.000
Ta 0.000 0.601 0.000
Ta 0.601 0.000 0.000

space-group type	P-62m (189)
calculated volume	145.6	Å³ per cell

---

## b
## TaGeW (PBE)

Data for a relaxed structure of TaGeW.

a = 4.268 Å, b = 4.268 Å, c = 4.268 Å
α = 60.00°, β = 60.00°, γ = 60.00°
Fractional coordinates of all 3 atoms:
Ge 0.000 0.000 0.000
W 0.750 0.750 0.750
Ta 0.250 0.250 0.250

space-group type	F-43m (216)
calculated volume	55.0	Å³ per cell

---

Short version: a, b, most stable first.

---

## a
## TbTlGe (PBE)

Data for a relaxed structure of TbTlGe.

a = 4.973 Å, b = 4.973 Å, c = 10.398 Å
α = 90.00°, β = 90.00°, γ = 120.00°
Fractional coordinates of all 9 atoms:
Tl 0.000 0.000 0.669
Tl 0.667 0.333 0.000
Tl 0.000 0.000 0.331
Ge 0.667 0.333 0.330
Ge 0.667 0.333 0.670
Ge 0.000 0.000 0.000
Tb 0.333 0.667 0.835
Tb 0.333 0.667 0.165
Tb 0.333 0.667 0.500

space-group type	P-6m2 (187)
calculated volume	222.7	Å³ per cell

---

## b
## TbTlGe (PBE)

Data for a relaxed structure of TbTlGe.

a = 4.955 Å, b = 4.955 Å, c = 4.955 Å
α = 60.00°, β = 60.00°, γ = 60.00°
Fractional coordinates of all 3 atoms:
Tl 0.000 0.000 0.000
Ge 0.250 0.250 0.250
Tb 0.750 0.750 0.750

space-group type	F-43m (216)
calculated volume	86.0	Å³ per cell

---

Short version: a, b, most stable first.